No. 1
VASP calculation (GGA-PBE) on a geometry-optimized TeAsCBr2 structure.

Cell lengths 4.670, 4.670, 4.747 Å; angles 90.00, 90.00, 90.00 degrees
Element x y z (fractional)
1 Te 0.000 0.000 0.000
2 As 0.500 0.500 0.000
3 C 0.500 0.500 0.500
4 Br 0.000 0.500 0.500
5 Br 0.500 0.000 0.500

As for the energy relative to the lowest polymorph listed for this composition: 0.00 eV/f.u. As for the spin magnetization: 0.00 μB/f.u. The mass density comes out at 6.01 g cm⁻³. The formation energy without anion corrections is 1.16 eV per atom.

---

No. 2
VASP calculation (GGA-PBE) on a geometry-optimized TiAs2CBr structure.

Cell lengths 4.946, 4.946, 4.948 Å; angles 90.00, 90.00, 90.00 degrees
Element x y z (fractional)
1 Ti 0.000 0.000 0.000
2 As 0.000 0.500 0.000
3 As 0.500 0.000 0.000
4 C 0.500 0.500 0.500
5 Br 0.000 0.000 0.500

As for the energy relative to the lowest polymorph listed for this composition: 1.80 eV/f.u. As for the spin magnetization: 1.36 μB/f.u. The mass density comes out at 3.97 g cm⁻³. The formation energy without anion corrections is 1.33 eV per atom.

---

No. 3
VASP calculation (GGA-PBE) on a geometry-optimized TiAs2CBr structure.

Cell lengths 4.304, 4.304, 4.674 Å; angles 90.00, 90.00, 90.00 degrees
Element x y z (fractional)
1 Ti 0.000 0.000 0.000
2 As 0.000 0.500 0.500
3 As 0.500 0.000 0.500
4 C 0.500 0.500 0.500
5 Br 0.500 0.500 0.000

As for the energy relative to the lowest polymorph listed for this composition: 0.00 eV/f.u. As for the spin magnetization: 0.92 μB/f.u. The mass density comes out at 5.55 g cm⁻³. The formation energy without anion corrections is 0.97 eV per atom.

---

No. 4
VASP calculation (GGA-PBE) on a geometry-optimized As2WCBr structure.

Cell lengths 4.854, 4.854, 5.204 Å; angles 90.00, 90.00, 90.00 degrees
Element x y z (fractional)
1 As 0.000 0.500 0.000
2 As 0.500 0.000 0.000
3 W 0.000 0.000 0.000
4 C 0.500 0.500 0.500
5 Br 0.000 0.000 0.500

As for the energy relative to the lowest polymorph listed for this composition: 0.64 eV/f.u. As for the spin magnetization: 2.05 μB/f.u. The mass density comes out at 5.76 g cm⁻³. The formation energy without anion corrections is 1.76 eV per atom.

---

No. 5
VASP calculation (GGA-PBE) on a geometry-optimized As2WCBr structure.

Cell lengths 4.262, 4.262, 4.480 Å; angles 90.00, 90.00, 90.00 degrees
Element x y z (fractional)
1 As 0.000 0.500 0.000
2 As 0.500 0.000 0.000
3 W 0.000 0.000 0.500
4 C 0.500 0.500 0.000
5 Br 0.500 0.500 0.500

As for the energy relative to the lowest polymorph listed for this composition: 0.00 eV/f.u. As for the spin magnetization: 1.63 μB/f.u. The mass density comes out at 8.69 g cm⁻³. The formation energy without anion corrections is 1.63 eV per atom.

---

No. 6
VASP calculation (GGA-PBE) on a geometry-optimized YAsCBr2 structure.

Cell lengths 4.651, 4.651, 4.688 Å; angles 90.00, 90.00, 90.00 degrees
Element x y z (fractional)
1 Y 0.000 0.000 0.000
2 As 0.500 0.500 0.000
3 C 0.500 0.500 0.500
4 Br 0.000 0.500 0.500
5 Br 0.500 0.000 0.500

As for the energy relative to the lowest polymorph listed for this composition: 0.00 eV/f.u. As for the spin magnetization: 0.00 μB/f.u. The mass density comes out at 5.50 g cm⁻³. The formation energy without anion corrections is 0.42 eV per atom.

---

No. 7
VASP calculation (GGA-PBE) on a geometry-optimized YAsCBr2 structure.

Cell lengths 5.521, 5.521, 5.906 Å; angles 90.00, 90.00, 90.00 degrees
Element x y z (fractional)
1 Y 0.000 0.000 0.000
2 As 0.000 0.000 0.500
3 C 0.500 0.500 0.500
4 Br 0.000 0.500 0.000
5 Br 0.500 0.000 0.000

As for the energy relative to the lowest polymorph listed for this composition: 2.05 eV/f.u. As for the spin magnetization: 3.68 μB/f.u. The mass density comes out at 3.10 g cm⁻³. The formation energy without anion corrections is 0.83 eV per atom.

---

No. 8
VASP calculation (GGA-PBE) on a geometry-optimized ZnAsCBr2 structure.

Cell lengths 5.118, 5.118, 5.002 Å; angles 90.00, 90.00, 90.00 degrees
Element x y z (fractional)
1 Zn 0.000 0.000 0.000
2 As 0.000 0.000 0.500
3 C 0.500 0.500 0.500
4 Br 0.000 0.500 0.000
5 Br 0.500 0.000 0.000

As for the energy relative to the lowest polymorph listed for this composition: 2.25 eV/f.u. As for the spin magnetization: 0.65 μB/f.u. The mass density comes out at 3.96 g cm⁻³. The formation energy without anion corrections is 1.57 eV per atom.

---

No. 9
VASP calculation (GGA-PBE) on a geometry-optimized ZnAs2CBr structure.

Cell lengths 4.400, 4.400, 4.777 Å; angles 90.00, 90.00, 90.00 degrees
Element x y z (fractional)
1 Zn 0.000 0.000 0.000
2 As 0.000 0.500 0.500
3 As 0.500 0.000 0.500
4 C 0.500 0.500 0.500
5 Br 0.500 0.500 0.000

As for the energy relative to the lowest polymorph listed for this composition: 0.00 eV/f.u. As for the spin magnetization: 0.00 μB/f.u. The mass density comes out at 5.52 g cm⁻³. The formation energy without anion corrections is 1.16 eV per atom.

---

No. 10
VASP calculation (GGA-PBE) on a geometry-optimized ZnAsCBr2 structure.

Cell lengths 4.863, 4.863, 4.338 Å; angles 90.00, 90.00, 90.00 degrees
Element x y z (fractional)
1 Zn 0.000 0.000 0.000
2 As 0.500 0.500 0.000
3 C 0.500 0.500 0.500
4 Br 0.000 0.500 0.500
5 Br 0.500 0.000 0.500

As for the energy relative to the lowest polymorph listed for this composition: 0.00 eV/f.u. As for the spin magnetization: 0.00 μB/f.u. The mass density comes out at 5.05 g cm⁻³. The formation energy without anion corrections is 1.12 eV per atom.

---

No. 11
VASP calculation (GGA-PBE) on a geometry-optimized ZnAs2CBr structure.

Cell lengths 4.869, 4.869, 5.095 Å; angles 90.00, 90.00, 90.00 degrees
Element x y z (fractional)
1 Zn 0.000 0.000 0.000
2 As 0.000 0.500 0.000
3 As 0.500 0.000 0.000
4 C 0.500 0.500 0.500
5 Br 0.000 0.000 0.500

As for the energy relative to the lowest polymorph listed for this composition: 3.46 eV/f.u. As for the spin magnetization: 0.66 μB/f.u. The mass density comes out at 4.22 g cm⁻³. The formation energy without anion corrections is 1.85 eV per atom.

---

No. 12
VASP calculation (GGA-PBE) on a geometry-optimized ZrAsCBr2 structure.

Cell lengths 5.265, 5.265, 5.378 Å; angles 90.00, 90.00, 90.00 degrees
Element x y z (fractional)
1 Zr 0.000 0.000 0.000
2 As 0.000 0.000 0.500
3 C 0.500 0.500 0.500
4 Br 0.000 0.500 0.000
5 Br 0.500 0.000 0.000

As for the energy relative to the lowest polymorph listed for this composition: 0.35 eV/f.u. As for the spin magnetization: 1.05 μB/f.u. The mass density comes out at 3.76 g cm⁻³. The formation energy without anion corrections is 0.99 eV per atom.

---

No. 13
VASP calculation (GGA-PBE) on a geometry-optimized ZrAsCBr2 structure.

Cell lengths 4.533, 4.533, 4.542 Å; angles 90.00, 90.00, 90.00 degrees
Element x y z (fractional)
1 Zr 0.000 0.000 0.000
2 As 0.500 0.500 0.000
3 C 0.500 0.500 0.500
4 Br 0.000 0.500 0.500
5 Br 0.500 0.000 0.500

As for the energy relative to the lowest polymorph listed for this composition: 0.00 eV/f.u. As for the spin magnetization: 0.00 μB/f.u. The mass density comes out at 6.01 g cm⁻³. The formation energy without anion corrections is 0.92 eV per atom.

---

No. 14
VASP calculation (GGA-PBE) on a geometry-optimized ZrAs2CBr structure.

Cell lengths 5.261, 5.261, 5.245 Å; angles 90.00, 90.00, 90.00 degrees
Element x y z (fractional)
1 Zr 0.000 0.000 0.000
2 As 0.000 0.500 0.000
3 As 0.500 0.000 0.000
4 C 0.500 0.500 0.500
5 Br 0.000 0.000 0.500

As for the energy relative to the lowest polymorph listed for this composition: 2.97 eV/f.u. As for the spin magnetization: 1.08 μB/f.u. The mass density comes out at 3.81 g cm⁻³. The formation energy without anion corrections is 1.35 eV per atom.

---

No. 15
VASP calculation (GGA-PBE) on a geometry-optimized ZrAs2CBr structure.

Cell lengths 4.378, 4.378, 4.611 Å; angles 90.00, 90.00, 90.00 degrees
Element x y z (fractional)
1 Zr 0.000 0.000 0.000
2 As 0.000 0.500 0.500
3 As 0.500 0.000 0.500
4 C 0.500 0.500 0.500
5 Br 0.500 0.500 0.000

As for the energy relative to the lowest polymorph listed for this composition: 0.00 eV/f.u. As for the spin magnetization: 0.00 μB/f.u. The mass density comes out at 6.26 g cm⁻³. The formation energy without anion corrections is 0.75 eV per atom.

---

No. 16
VASP calculation (GGA-PBE) on a geometry-optimized CaAsBr2 structure.

Cell lengths 7.607, 7.607, 7.607 Å; angles 90.00, 90.00, 90.00 degrees
Element x y z (fractional)
1 Ca 0.000 0.000 0.000
2 Ca 0.000 0.500 0.500
3 Ca 0.500 0.000 0.500
4 Ca 0.500 0.500 0.000
5 As 0.000 0.000 0.500
6 As 0.000 0.500 0.000
7 As 0.500 0.000 0.000
8 As 0.500 0.500 0.500
9 Br 0.250 0.250 0.250
10 Br 0.250 0.250 0.750
11 Br 0.250 0.750 0.250
12 Br 0.250 0.750 0.750
13 Br 0.750 0.250 0.250
14 Br 0.750 0.250 0.750
15 Br 0.750 0.750 0.250
16 Br 0.750 0.750 0.750

As for the energy relative to the lowest polymorph listed for this composition: 1.61 eV/f.u. As for the spin magnetization: 2.89 μB/f.u. The mass density comes out at 4.15 g cm⁻³. The formation energy without anion corrections is -0.57 eV per atom.

---

No. 17
VASP calculation (GGA-PBE) on a geometry-optimized CaAsBr2 structure.

Cell lengths 14.719, 3.608, 5.216 Å; angles 90.00, 94.19, 90.00 degrees
Element x y z (fractional)
1 Ca 0.000 0.000 0.000
2 Ca 0.500 0.500 0.000
3 As 0.000 0.500 0.500
4 As 0.500 0.000 0.500
5 Br 0.144 0.500 0.214
6 Br 0.356 0.000 0.786
7 Br 0.644 0.000 0.214
8 Br 0.856 0.500 0.786

As for the energy relative to the lowest polymorph listed for this composition: 0.00 eV/f.u. As for the spin magnetization: 0.00 μB/f.u. The mass density comes out at 3.30 g cm⁻³. The formation energy without anion corrections is -0.97 eV per atom.

---

No. 18
VASP calculation (GGA-PBE) on a geometry-optimized CaAsBr2 structure.

Cell lengths 8.160, 8.160, 6.862 Å; angles 90.00, 90.00, 90.00 degrees
Element x y z (fractional)
1 Ca 0.000 0.000 0.000
2 Ca 0.000 0.500 0.250
3 Ca 0.500 0.000 0.750
4 Ca 0.500 0.500 0.500
5 As 0.000 0.000 0.500
6 As 0.000 0.500 0.750
7 As 0.500 0.000 0.250
8 As 0.500 0.500 0.000
9 Br 0.234 0.250 0.125
10 Br 0.250 0.734 0.375
11 Br 0.250 0.766 0.875
12 Br 0.266 0.250 0.625
13 Br 0.734 0.750 0.625
14 Br 0.750 0.234 0.875
15 Br 0.750 0.266 0.375
16 Br 0.766 0.750 0.125

As for the energy relative to the lowest polymorph listed for this composition: 1.37 eV/f.u. As for the spin magnetization: 0.91 μB/f.u. The mass density comes out at 3.99 g cm⁻³. The formation energy without anion corrections is -0.63 eV per atom.

---

No. 19
VASP calculation (GGA-PBE) on a geometry-optimized Ca8As5Br structure.

Cell lengths 7.812, 7.812, 7.812 Å; angles 109.40, 109.40, 109.61 degrees
Element x y z (fractional)
1 Ca 0.226 0.485 0.598
2 Ca 0.369 0.249 0.261
3 Ca 0.372 0.774 0.259
4 Ca 0.515 0.112 0.741
5 Ca 0.751 0.012 0.120
6 Ca 0.888 0.628 0.402
7 Ca 0.892 0.631 0.880
8 Ca 0.988 0.108 0.739
9 As 0.119 0.002 0.385
10 As 0.266 0.881 0.882
11 As 0.617 0.734 0.615
12 As 0.750 0.250 0.500
13 As 0.998 0.383 0.118
14 Br 0.500 0.500 0.000

As for the spin magnetization: 0.00 μB/f.u. The mass density comes out at 3.51 g cm⁻³. The formation energy without anion corrections is -1.28 eV per atom.

---

No. 20
VASP calculation (GGA-PBE) on a geometry-optimized CaAsBr2 structure.

Cell lengths 3.921, 3.921, 34.870 Å; angles 90.00, 90.00, 120.00 degrees
Element x y z (fractional)
1 Ca 0.000 0.000 0.000
2 Ca 0.333 0.667 0.667
3 Ca 0.667 0.333 0.333
4 As 0.000 0.000 0.500
5 As 0.333 0.667 0.167
6 As 0.667 0.333 0.833
7 Br 0.000 0.000 0.383
8 Br 0.000 0.000 0.617
9 Br 0.333 0.667 0.050
10 Br 0.333 0.667 0.284
11 Br 0.667 0.333 0.716
12 Br 0.667 0.333 0.950

As for the energy relative to the lowest polymorph listed for this composition: 0.65 eV/f.u. As for the spin magnetization: 1.27 μB/f.u. The mass density comes out at 2.95 g cm⁻³. The formation energy without anion corrections is -0.81 eV per atom.